No. 1
The following is a DFT calculation (GGA-PBE) of a relaxed structure of HfHgS2.

Calculated values
The value obtained for the total magnetic moment is 0.0 μB per cell. The volume comes out at 37.5 Å³ per atom. The formation energy (no corrections) is -0.880 eV/atom.

a b c (Å): 9.5167 9.5167 7.4987
angles (deg): 50.61 50.61 90.00
Last column: nearest neighbours and their distance in Å.
Positions (direct):
S 0.6308 0.8692 0.0000  2 Hf 2.42
S 0.8692 0.3692 0.0000  2 Hf 2.42
S 0.3692 0.1308 0.0000  2 Hf 2.42
S 0.1308 0.6308 0.0000  2 Hf 2.42
Hf 0.2500 0.7500 0.5000  4 S 2.42
Hf 0.7500 0.2500 0.5000  4 S 2.42
Hg 0.7500 0.7500 0.5000  2 Hg 3.31
Hg 0.2500 0.2500 0.5000  2 Hg 3.31

No. 2
The following is a DFT calculation (GGA-PBE) of a relaxed structure of Dy3Al7Ga2.

Calculated values
The value obtained for the total magnetic moment is 0.0 μB per cell. The volume comes out at 20.0 Å³ per atom. Its calculated formation energy is -0.39 eV/atom. The energy above the most stable polymorph in this dataset is 26 meV per atom.

a b c (Å): 4.0930 4.2310 14.0029
angles (deg): 98.72 90.00 90.00
Last column: nearest neighbours and their distance in Å.
Positions (direct):
Al 0.0000 0.4167 0.8383  2 Ga 2.59
Al 0.0000 0.5833 0.1617  2 Ga 2.59
Al 0.0000 0.0000 0.0000  4 Dy 2.94, 8 Al 3.04-3.09
Al 0.5000 0.9191 0.8374  2 Ga 2.64-2.65, 4 Al 2.93-2.95
Al 0.5000 0.0809 0.1626  2 Ga 2.64-2.65, 4 Al 2.93-2.95
Al 0.5000 0.2726 0.5447  2 Al 2.45, 1 Ga 2.47
Al 0.5000 0.7274 0.4553  2 Al 2.45, 1 Ga 2.47
Dy 0.0000 0.8192 0.6380  4 Ga 3.17, 10 Al 3.21-3.50
Dy 0.0000 0.1808 0.3620  4 Ga 3.17, 10 Al 3.21-3.50
Dy 0.5000 0.5000 0.0000  12 Al 2.94-3.09
Ga 0.5000 0.3632 0.7232  5 Al 2.47-2.65
Ga 0.5000 0.6368 0.2768  5 Al 2.47-2.65

- Which formula does entry 1 have?
  HfHgS2